Entry 1:
DFT (PBE) results for Er2TmZrP4 after structural relaxation.

- space group = P2/m
- DFT total energy (eV/cell) = -56.2
- energy relative to the elements (meV/atom) = -1553
- N(E_F) (states/eV per atom) = 0.192

Cell lengths 3.8918, 6.7482, 6.7498 Å; angles 109.29, 90.00, 90.00 degrees
Positions (direct):
P1 0.0000 0.2462 0.7556
P2 0.0000 0.7538 0.2444
P3 0.5000 0.7581 0.7590
P4 0.5000 0.2419 0.2410
Er1 0.0000 0.5000 0.5000
Er2 0.5000 0.0000 0.5000
Tm1 0.5000 0.5000 0.0000
Zr1 0.0000 0.0000 0.0000

=====

Entry 2:
DFT (PBE) results for ErU2P3 after structural relaxation.

- space group = Pnma
- DFT total energy (eV/cell) = -201.7
- energy relative to the elements (meV/atom) = -1176
- N(E_F) (states/eV per atom) = 1.852

Cell lengths 5.5699, 7.8719, 11.8449 Å; angles 90.00, 90.00, 89.99 degrees
Positions (direct):
Er1 0.2498 0.8759 0.0822
Er2 0.7502 0.6241 0.5822
Er3 0.2498 0.3759 0.4178
Er4 0.7502 0.1241 0.9178
U1 0.2497 0.8764 0.4166
U2 0.2505 0.8753 0.7511
U3 0.7495 0.1247 0.2489
U4 0.7503 0.1236 0.5834
U5 0.7495 0.6247 0.2511
U6 0.7503 0.6236 0.9166
U7 0.2505 0.3753 0.7489
U8 0.2497 0.3764 0.0834
P1 0.7498 0.3726 0.4156
P2 0.2495 0.1257 0.2490
P3 0.7498 0.8726 0.0844
P4 0.2502 0.1274 0.9156
P5 0.2502 0.6274 0.5844
P6 0.7498 0.8752 0.4161
P7 0.7505 0.8743 0.7510
P8 0.7505 0.3743 0.7490
P9 0.2502 0.6248 0.9161
P10 0.2495 0.6257 0.2510
P11 0.7498 0.3752 0.0839
P12 0.2502 0.1248 0.5839

=====

Entry 3:
DFT (PBE) results for Er4UP5 after structural relaxation.

- space group = Immm
- DFT total energy (eV/cell) = -71.4
- energy relative to the elements (meV/atom) = -1482
- N(E_F) (states/eV per atom) = 0.624

Cell lengths 3.9514, 5.5950, 10.4996 Å; angles 105.45, 100.85, 90.00 degrees
Positions (direct):
Er1 0.6015 0.6015 0.2030
Er2 0.2016 0.2016 0.4032
Er3 0.7984 0.7984 0.5968
Er4 0.3985 0.3985 0.7970
P1 0.2004 0.7004 0.4008
P2 0.5983 0.0983 0.1967
P3 0.4017 0.9017 0.8033
P4 0.0000 0.5000 0.0000
P5 0.7996 0.2996 0.5992
U1 0.0000 0.0000 0.0000

=====

Entry 4:
DFT (PBE) results for ErUP2 after structural relaxation.

- space group = R3m
- DFT total energy (eV/cell) = -31.1
- energy relative to the elements (meV/atom) = -1119
- N(E_F) (states/eV per atom) = 1.189

Cell lengths 3.8448, 3.8448, 7.3032 Å; angles 74.74, 74.74, 60.00 degrees
Positions (direct):
U1 0.4977 0.4977 0.5068
P1 0.0818 0.0818 0.7548
P2 0.2511 0.2511 0.2468
Er1 0.6694 0.6694 0.9916

=====

Entry 5:
DFT (PBE) results for ErU5P6 after structural relaxation.

- space group = C2/m
- DFT total energy (eV/cell) = -106.3
- energy relative to the elements (meV/atom) = -1068
- N(E_F) (states/eV per atom) = 2.289

Cell lengths 6.8198, 6.8258, 6.8311 Å; angles 60.03, 80.38, 70.46 degrees
Positions (direct):
P1 0.7499 0.4178 0.6657
P2 0.2501 0.9166 0.6657
P3 0.7499 0.0834 0.3343
P4 0.2503 0.2505 0.0000
P5 0.7497 0.7495 0.0000
P6 0.2501 0.5822 0.3343
U1 0.5000 0.5000 0.0000
U2 0.5000 0.1660 0.6680
U3 0.0000 0.6664 0.6673
U4 0.5000 0.8340 0.3320
U5 0.0000 0.3336 0.3327
Er1 0.0000 0.0000 0.0000

=====

Entry 6:
DFT (PBE) results for ErU4P5 after structural relaxation.

- space group = Immm
- DFT total energy (eV/cell) = -87.6
- energy relative to the elements (meV/atom) = -1088
- N(E_F) (states/eV per atom) = 2.198

Cell lengths 3.9256, 5.5635, 10.4768 Å; angles 105.40, 100.80, 90.00 degrees
Positions (direct):
U1 0.5997 0.5997 0.1995
U2 0.4003 0.4003 0.8005
U3 0.2008 0.2008 0.4017
U4 0.7992 0.7992 0.5983
P1 0.1993 0.6993 0.3986
P2 0.6008 0.1008 0.2016
P3 0.8007 0.3007 0.6014
P4 0.0000 0.5000 0.0000
P5 0.3992 0.8992 0.7984
Er1 0.0000 0.0000 0.0000

=====

Entry 7:
DFT (PBE) results for ErUP2 after structural relaxation.

- space group = R-3m
- DFT total energy (eV/cell) = -31.8
- energy relative to the elements (meV/atom) = -1292
- N(E_F) (states/eV per atom) = 1.058

Cell lengths 3.9297, 3.9297, 6.9082 Å; angles 73.48, 73.48, 60.00 degrees
Positions (direct):
P1 0.7493 0.7493 0.7521
P2 0.2507 0.2507 0.2479
Er1 0.5000 0.5000 0.5000
U1 0.0000 0.0000 0.0000

=====

Entry 8:
DFT (PBE) results for Y2ErUP4 after structural relaxation.

- space group = P2/m
- DFT total energy (eV/cell) = -62.1
- energy relative to the elements (meV/atom) = -1459
- N(E_F) (states/eV per atom) = 0.845

Cell lengths 3.9663, 6.8828, 6.8896 Å; angles 109.25, 90.00, 90.00 degrees
Positions (direct):
Y1 0.5000 0.0000 0.5000
Y2 0.0000 0.5000 0.5000
U1 0.5000 0.5000 0.0000
P1 0.5000 0.7476 0.7567
P2 0.0000 0.2542 0.7563
P3 0.5000 0.2524 0.2433
P4 0.0000 0.7458 0.2437
Er1 0.0000 0.0000 0.0000

=====

Entry 9:
DFT (PBE) results for Er2ZrUP4 after structural relaxation.

- space group = P2/m
- DFT total energy (eV/cell) = -61.7
- energy relative to the elements (meV/atom) = -1386
- N(E_F) (states/eV per atom) = 0.877

Cell lengths 3.8887, 6.7220, 6.7639 Å; angles 109.18, 90.00, 90.00 degrees
Positions (direct):
Zr1 0.0000 0.0000 0.0000
Er1 0.5000 0.0000 0.5000
Er2 0.0000 0.5000 0.5000
P1 0.0000 0.7523 0.2436
P2 0.5000 0.2440 0.2397
P3 0.0000 0.2477 0.7564
P4 0.5000 0.7560 0.7603
U1 0.5000 0.5000 0.0000

=====

Entry 10:
DFT (PBE) results for ErVP after structural relaxation.

- space group = Fddd
- DFT total energy (eV/cell) = -79.5
- energy relative to the elements (meV/atom) = -263
- N(E_F) (states/eV per atom) = 1.245

Cell lengths 6.5563, 6.5563, 7.5162 Å; angles 112.85, 112.85, 96.29 degrees
Positions (direct):
V1 0.1250 0.3750 0.2500
V2 0.1250 0.8750 0.2500
V3 0.6250 0.8750 0.7500
V4 0.1250 0.8750 0.7500
Er1 0.3423 0.3423 0.6846
Er2 0.5923 0.0923 0.1846
Er3 0.9077 0.4077 0.8154
Er4 0.6577 0.6577 0.3154
P1 0.5288 0.0288 0.5000
P2 0.7212 0.7212 0.0000
P3 0.9712 0.4712 0.5000
P4 0.2788 0.2788 0.0000

=====

Entry 11:
DFT (PBE) results for ErP2W after structural relaxation.

- space group = R-3m
- DFT total energy (eV/cell) = -31.0
- energy relative to the elements (meV/atom) = -665
- N(E_F) (states/eV per atom) = 0.670

Cell lengths 3.7674, 3.7674, 6.2587 Å; angles 72.48, 72.48, 60.00 degrees
Positions (direct):
Er1 0.5000 0.5000 0.5000
P1 0.2616 0.2616 0.2151
P2 0.7384 0.7384 0.7849
W1 0.0000 0.0000 0.0000

=====

Entry 12:
DFT (PBE) results for ErP2W after structural relaxation.

- space group = P4/mmm
- DFT total energy (eV/cell) = -30.4
- energy relative to the elements (meV/atom) = -526
- N(E_F) (states/eV per atom) = 0.523

Cell lengths 3.1336, 3.1336, 6.6745 Å; angles 90.00, 90.00, 90.00 degrees
Positions (direct):
P1 0.0000 0.0000 0.7909
P2 0.0000 0.0000 0.2091
Er1 0.5000 0.5000 0.5000
W1 0.5000 0.5000 0.0000

=====

Number 1: calculated volume 167 Å³/cell. Number 2: calculated volume 519 Å³/cell. Number 3: calculated volume 219 Å³/cell. Number 4: calculated volume 89 Å³/cell. Number 5: calculated volume 260 Å³/cell. Number 6: calculated volume 216 Å³/cell. Number 7: calculated volume 87 Å³/cell. Number 8: calculated volume 178 Å³/cell. Number 9: calculated volume 167 Å³/cell. Number 10: calculated volume 261 Å³/cell. Number 11: calculated volume 72 Å³/cell. Number 12: calculated volume 66 Å³/cell.